Entry 1:
This record from Alexandria describes an optimized crystal structure of CaGa3Pd. The functional is PBE.

abc: 4.8576 4.8576 4.8576
angles: 90.00 90.00 90.00
With the nearest neighbours (Å) after each atom.
Atoms (fractional coordinates):
1 Ga 0.5000 0.0000 0.0000  2 Pd 2.43
2 Ga 0.0000 0.5000 0.0000  2 Pd 2.43
3 Ca 0.5000 0.5000 0.5000  12 Ga 3.43
4 Pd 0.0000 0.0000 0.0000  6 Ga 2.43
5 Ga 0.0000 0.0000 0.5000  2 Pd 2.43

Output
Total magnetization ... 0.00 μB/f.u.
Uncorrected energy ... -17.616 eV/cell
Space-group type ... No. 221


Entry 2:
This record from Alexandria describes an optimized crystal structure of Ca2Ga2Pd. The functional is PBE.

abc: 8.4610 8.4610 3.4059
angles: 90.00 90.00 90.00
With the nearest neighbours (Å) after each atom.
Atoms (fractional coordinates):
1 Ca 0.1930 0.3070 0.0000  6 Ga 2.96-3.13, 2 Pd 3.07
2 Ca 0.3070 0.8070 0.0000  6 Ga 2.96-3.13, 2 Pd 3.07
3 Pd 0.5000 0.5000 0.0000  4 Ca 3.07, 2 Pd 3.41
4 Ga 0.3956 0.1044 0.5000  1 Ga 2.50
5 Ga 0.1044 0.6044 0.5000  1 Ga 2.50
6 Ca 0.6930 0.1930 0.0000  6 Ga 2.96-3.13, 2 Pd 3.07
7 Ga 0.8956 0.3956 0.5000  1 Ga 2.50
8 Ga 0.6044 0.8956 0.5000  1 Ga 2.50
9 Pd 0.0000 0.0000 0.0000  4 Ca 3.07, 2 Pd 3.41
10 Ca 0.8070 0.6930 0.0000  6 Ga 2.96-3.13, 2 Pd 3.07

Output
Total magnetization ... 0.00 μB/f.u.
Polymorph energy (0 for the lowest one) ... 0.510 eV per atom
Space-group type ... No. 127


Entry 3:
This record from Alexandria describes an optimized crystal structure of Ca4GaPd3. The functional is PBE.

abc: 4.0770 4.3964 10.9904
angles: 90.00 90.00 90.00
With the nearest neighbours (Å) after each atom.
Atoms (fractional coordinates):
1 Pd 0.5000 0.0000 0.9395  2 Ga 2.57
2 Pd 0.0000 0.5000 0.5795  2 Pd 2.80, 7 Ca 2.95-3.10
3 Ca 0.0000 0.0000 0.1480  3 Pd 3.01-3.07, 4 Ga 3.15
4 Ca 0.5000 0.5000 0.3674  6 Pd 3.06-3.10, 1 Ga 3.37
5 Ga 0.5000 0.5000 0.0607  2 Pd 2.57
6 Ca 0.5000 0.0000 0.6348  7 Pd 3.06-3.35
7 Pd 0.0000 0.0000 0.4220  2 Pd 2.80, 7 Ca 3.01-3.10
8 Ca 0.0000 0.5000 0.8482  5 Pd 2.95-3.16, 2 Ga 3.10

Output
Total magnetization ... 0.00 μB/f.u.
Uncorrected energy ... -31.734 eV/cell
Space-group type ... No. 25


Entry 4:
This record from Alexandria describes an optimized crystal structure of Ca3Ga7Pd2. The functional is PBE.

abc: 5.5996 5.5996 9.2713
angles: 72.42 72.42 60.00
With the nearest neighbours (Å) after each atom.
Atoms (fractional coordinates):
1 Ga 0.5852 0.5852 0.7596  2 Pd 2.59-2.70, 5 Ga 2.71-2.88
2 Pd 0.3374 0.3374 0.9879  6 Ga 2.59-2.70
3 Ga 0.4148 0.9300 0.2404  2 Pd 2.59-2.70, 5 Ga 2.71-2.88
4 Ga 0.4148 0.4148 0.2404  2 Pd 2.59-2.70, 5 Ga 2.71-2.88
5 Ca 0.1437 0.1437 0.5689  12 Ga 3.25-3.29, 3 Ca 3.45
6 Pd 0.6626 0.6626 0.0121  6 Ga 2.59-2.70
7 Ca 0.0000 0.0000 0.0000  6 Pd 3.23, 12 Ga 3.49
8 Ga 0.5852 0.0700 0.7596  2 Pd 2.59-2.70, 5 Ga 2.71-2.88
9 Ca 0.8563 0.8563 0.4311  12 Ga 3.25-3.29, 3 Ca 3.45
10 Ga 0.0700 0.5852 0.7596  2 Pd 2.59-2.70, 5 Ga 2.71-2.88
11 Ga 0.5000 0.5000 0.5000  6 Ga 2.80
12 Ga 0.9300 0.4148 0.2404  2 Pd 2.59-2.70, 5 Ga 2.71-2.88

Output
Total magnetization ... 0.00 μB/f.u.
Polymorph energy (0 for the lowest one) ... 0.000 eV per atom
Space-group type ... No. 166


Entry 5:
This record from Alexandria describes an optimized crystal structure of CaGa3Pd. The functional is PBE.

abc: 5.7160 6.3419 6.3418
angles: 120.01 90.00 90.00
With the nearest neighbours (Å) after each atom.
Atoms (fractional coordinates):
1 Ga 0.7500 0.1935 0.3869  2 Pd 2.56, 2 Ga 2.66
2 Ga 0.2500 0.8065 0.6131  2 Pd 2.56, 2 Ga 2.66
3 Ga 0.7501 0.1935 0.8066  2 Pd 2.56, 2 Ga 2.66
4 Ca 0.7499 0.6667 0.3334  12 Ga 3.18-3.25
5 Ca 0.2501 0.3333 0.6666  12 Ga 3.18-3.25
6 Ga 0.7500 0.6131 0.8066  2 Pd 2.56, 2 Ga 2.66
7 Pd 0.5000 0.0000 0.0000  6 Ga 2.56, 2 Pd 2.86
8 Ga 0.2499 0.8065 0.1934  2 Pd 2.56, 2 Ga 2.66
9 Ga 0.2500 0.3869 0.1934  2 Pd 2.56, 2 Ga 2.66
10 Pd 0.0000 0.0000 0.0000  6 Ga 2.56, 2 Pd 2.86

Output
Total magnetization ... 0.00 μB/f.u.
Uncorrected energy ... -37.272 eV/cell
Space-group type ... No. 194


Entry 6:
This record from Alexandria describes an optimized crystal structure of Ca2Ga5Pd3. The functional is PBE.

abc: 5.7974 8.7441 8.7441
angles: 71.38 70.64 70.64
With the nearest neighbours (Å) after each atom.
Atoms (fractional coordinates):
1 Ga 0.0927 0.0793 0.7352  3 Pd 2.52-2.57, 2 Ga 2.71
2 Pd 0.3537 0.5556 0.7371  5 Ga 2.52-2.57
3 Pd 0.6463 0.4444 0.2629  5 Ga 2.52-2.57
4 Pd 0.1463 0.2629 0.4444  5 Ga 2.52-2.57
5 Ca 0.1426 0.5834 0.1313  10 Ga 3.15-3.48, 4 Pd 3.21-3.31
6 Ga 0.5439 0.2061 0.2061  3 Pd 2.57-2.67, 2 Ga 2.71
7 Ca 0.6426 0.1313 0.5834  10 Ga 3.15-3.48, 4 Pd 3.21-3.31
8 Pd 0.2500 0.0000 0.0000  6 Ga 2.57-2.67
9 Ga 0.4561 0.7939 0.7939  3 Pd 2.57-2.67, 2 Ga 2.71
10 Ga 0.2500 0.5000 0.5000  4 Pd 2.56
11 Ca 0.8574 0.4166 0.8687  10 Ga 3.15-3.48, 4 Pd 3.21-3.31
12 Ga 0.5927 0.7352 0.0793  3 Pd 2.52-2.57, 2 Ga 2.71
13 Pd 0.8537 0.7371 0.5556  5 Ga 2.52-2.57
14 Ga 0.7500 0.5000 0.5000  4 Pd 2.56
15 Ca 0.3574 0.8687 0.4166  10 Ga 3.15-3.48, 4 Pd 3.21-3.31
16 Ga 0.9073 0.9207 0.2648  3 Pd 2.52-2.57, 2 Ga 2.71
17 Ga 0.9561 0.7939 0.7939  3 Pd 2.57-2.67, 2 Ga 2.71
18 Ga 0.4073 0.2648 0.9207  3 Pd 2.52-2.57, 2 Ga 2.71
19 Pd 0.7500 0.0000 0.0000  6 Ga 2.57-2.67
20 Ga 0.0439 0.2061 0.2061  3 Pd 2.57-2.67, 2 Ga 2.71

Output
Total magnetization ... 0.00 μB/f.u.
Uncorrected energy ... -83.083 eV/cell
Space-group type ... No. 72


Entry 7:
This record from Alexandria describes an optimized crystal structure of Ca2Ga4Pd3. The functional is PBE.

abc: 5.6104 5.6104 7.0056
angles: 101.48 101.48 120.20
With the nearest neighbours (Å) after each atom.
Atoms (fractional coordinates):
1 Pd 0.5000 0.0000 0.0000  4 Ga 2.61, 4 Pd 2.80-2.81
2 Ga 0.9864 0.3378 0.3241  3 Pd 2.61-2.69, 1 Ga 2.68
3 Ga 0.3378 0.9864 0.3241  3 Pd 2.61-2.69, 1 Ga 2.68
4 Pd 0.0000 0.5000 0.0000  4 Ga 2.61, 4 Pd 2.80-2.81
5 Ca 0.3699 0.3699 0.7398  8 Ga 3.17-3.30, 6 Pd 3.26-3.27, 1 Ca 3.34
6 Ga 0.0136 0.6622 0.6759  3 Pd 2.61-2.69, 1 Ga 2.68
7 Ca 0.6301 0.6301 0.2602  8 Ga 3.17-3.30, 6 Pd 3.26-3.27, 1 Ca 3.34
8 Ga 0.6622 0.0136 0.6759  3 Pd 2.61-2.69, 1 Ga 2.68
9 Pd 0.0000 0.0000 0.0000  4 Ga 2.69, 4 Pd 2.81

Output
Total magnetization ... 0.00 μB/f.u.
Polymorph energy (0 for the lowest one) ... 0.056 eV per atom
Space-group type ... No. 69


Entry 8:
This record from Alexandria describes an optimized crystal structure of Ca2Ga2Pd. The functional is PBE.

abc: 6.9186 6.9186 4.7070
angles: 90.00 90.00 90.00
With the nearest neighbours (Å) after each atom.
Atoms (fractional coordinates):
1 Ca 0.3231 0.1769 0.5000  6 Ga 3.01-3.19
2 Ca 0.6769 0.8231 0.5000  6 Ga 3.01-3.19
3 Ga 0.8681 0.6319 0.0000  1 Ga 2.58, 2 Pd 2.71
4 Ca 0.8231 0.3231 0.5000  6 Ga 3.01-3.19
5 Ca 0.1769 0.6769 0.5000  6 Ga 3.01-3.19
6 Ga 0.1319 0.3681 0.0000  1 Ga 2.58, 2 Pd 2.71
7 Pd 0.5000 0.5000 0.0000  4 Ga 2.71
8 Pd 0.0000 0.0000 0.0000  4 Ga 2.71
9 Ga 0.6319 0.1319 0.0000  1 Ga 2.58, 2 Pd 2.71
10 Ga 0.3681 0.8681 0.0000  1 Ga 2.58, 2 Pd 2.71

Output
Total magnetization ... 0.00 μB/f.u.
Polymorph energy (0 for the lowest one) ... 0.106 eV per atom
Space-group type ... No. 127


Entry 9:
This record from Alexandria describes an optimized crystal structure of CaGaPd4. The functional is PBE.

abc: 3.9211 6.9741 7.8413
angles: 90.00 90.00 90.00
With the nearest neighbours (Å) after each atom.
Atoms (fractional coordinates):
1 Ga 0.0000 0.7850 0.2500  8 Pd 2.47-2.67
2 Ca 0.0000 0.3566 0.2500  8 Pd 2.92-3.17, 1 Ga 2.99
3 Pd 0.0000 0.0000 0.0000  2 Ga 2.47
4 Pd 0.5000 0.3082 0.9432  2 Ga 2.56, 1 Pd 2.82
5 Ca 0.0000 0.6434 0.7500  8 Pd 2.92-3.17, 1 Ga 2.99
6 Pd 0.5000 0.0456 0.2500  2 Ga 2.67, 6 Pd 2.79-2.90, 2 Ca 2.92
7 Pd 0.0000 0.0000 0.5000  2 Ga 2.47
8 Pd 0.5000 0.6918 0.0568  2 Ga 2.56, 1 Pd 2.82
9 Pd 0.5000 0.6918 0.4432  2 Ga 2.56, 1 Pd 2.82
10 Ga 0.0000 0.2150 0.7500  8 Pd 2.47-2.67
11 Pd 0.5000 0.3082 0.5568  2 Ga 2.56, 1 Pd 2.82
12 Pd 0.5000 0.9544 0.7500  2 Ga 2.67, 6 Pd 2.79-2.90, 2 Ca 2.92

Output
Total magnetization ... 0.00 μB/f.u.
Polymorph energy (0 for the lowest one) ... 0.000 eV per atom
Space-group type ... No. 51


Entry 10:
This record from Alexandria describes an optimized crystal structure of CaGa6Pd2. The functional is PBE.

abc: 4.0584 6.9743 7.2276
angles: 118.85 106.31 90.00
With the nearest neighbours (Å) after each atom.
Atoms (fractional coordinates):
1 Ga 0.5000 0.8251 0.0000  3 Ga 2.44-2.48
2 Ca 0.0000 0.5000 0.0000  12 Ga 3.04-3.36
3 Ga 0.6924 0.8864 0.3849  4 Ga 2.48-2.71, 1 Pd 2.61
4 Ga 0.5000 0.1749 0.0000  3 Ga 2.44-2.48
5 Ga 0.3076 0.5015 0.6151  4 Ga 2.48-2.71, 1 Pd 2.61
6 Pd 0.8790 0.8790 0.7581  6 Ga 2.61-2.78, 1 Pd 2.90
7 Ga 0.6924 0.4985 0.3849  4 Ga 2.48-2.71, 1 Pd 2.61
8 Ga 0.3076 0.1136 0.6151  4 Ga 2.48-2.71, 1 Pd 2.61
9 Pd 0.1210 0.1210 0.2419  6 Ga 2.61-2.78, 1 Pd 2.90

Output
Total magnetization ... 0.00 μB/f.u.
Uncorrected energy ... -33.853 eV/cell
Space-group type ... No. 71